# PBE ReHgBr6, relaxed
data_ReHgBr6
_chemical_formula_sum 'Re4 Hg4 Br24'
_cell_length_a 11.195
_cell_length_b 8.610
_cell_length_c 11.433
_cell_angle_alpha 90.00
_cell_angle_beta 90.97
_cell_angle_gamma 90.00
_symmetry_space_group_name_H-M 'C 1 2/c 1'
_symmetry_Int_Tables_number 15
_symmetry_space_group_name_Hall '-C 2yc'
loop_
_atom_site_label
_atom_site_fract_x
_atom_site_fract_y
_atom_site_fract_z
Re1 0.250 0.250 0.000
Hg1 0.000 0.009 0.250
Br1 0.040 0.223 0.912
Br2 0.164 0.239 0.205
Br3 0.224 0.465 0.502
# crystal system = monoclinic
# DFT total energy = -3.12 eV/atom
# energy relative to the elements, uncorrected = -274.9 meV per atom